DFT (PBE) results for crystalline Pm3Pr2Sm6Pu at its relaxed geometry.

Summary:
Symmetry: C2/m
Crystal system: monoclinic
Energy of formation (kJ/mol of formula units): 60

Cell: 6.3042 6.3042 11.9959 Å, 95.08 95.08 120.08°
Closest atoms and distances in Å follow each position.
Fractional positions:
Pm 0.1664 0.8336 0.5000  6 Sm 3.63-3.65, 6 Pm 3.64
Sm 0.7542 0.7542 0.2484  6 Sm 3.59-3.67, 1 Pu 3.59, 2 Pr 3.61, 3 Pm 3.63-3.66
Pr 0.3334 0.6666 0.0000  6 Sm 3.61-3.62, 3 Pu 3.64, 3 Pr 3.64
Pm 0.8336 0.1664 0.5000  6 Sm 3.63-3.65, 6 Pm 3.64
Sm 0.4115 0.0829 0.2485  6 Sm 3.59-3.67, 1 Pu 3.59, 2 Pr 3.62, 3 Pm 3.63-3.65
Sm 0.0829 0.4115 0.2485  6 Sm 3.59-3.67, 1 Pu 3.59, 2 Pr 3.62, 3 Pm 3.63-3.65
Sm 0.5885 0.9171 0.7515  6 Sm 3.59-3.67, 1 Pu 3.59, 2 Pr 3.62, 3 Pm 3.63-3.65
Pr 0.6666 0.3334 0.0000  6 Sm 3.61-3.62, 3 Pu 3.64, 3 Pr 3.64
Sm 0.2458 0.2458 0.7516  6 Sm 3.59-3.67, 1 Pu 3.59, 2 Pr 3.61, 3 Pm 3.63-3.66
Pu 0.0000 0.0000 0.0000  6 Sm 3.59, 6 Pr 3.64
Pm 0.5000 0.5000 0.5000  6 Sm 3.63-3.66, 6 Pm 3.64
Sm 0.9171 0.5885 0.7515  6 Sm 3.59-3.67, 1 Pu 3.59, 2 Pr 3.62, 3 Pm 3.63-3.65